Entry 1:
Material: ScPaS3
Method: DFT, GGA-PBE
State: relaxed

Summary:
ΔE_f (raw) in kJ/mol of atoms: -126.6

Lattice parameters (Å, degrees): 8.0048 8.0048 4.7946 90.00 90.00 132.68
Last column: nearest neighbours and their distance in Å.
Atoms (fractional coordinates):
Sc: 0.1113 0.8887 0.0000  6 S 2.44-2.59
Sc: 0.8887 0.1113 0.0000  6 S 2.44-2.59
Pa: 0.3259 0.6741 0.5000  1 S 2.69
Pa: 0.6741 0.3259 0.5000  1 S 2.69
S: 0.0000 0.5000 0.0000  2 Sc 2.59
S: 0.1427 0.8573 0.5000  2 Sc 2.44, 1 Pa 2.69
S: 0.2816 0.2816 0.0000  2 Sc 2.44
S: 0.5000 0.0000 0.0000  2 Sc 2.59
S: 0.7184 0.7184 0.0000  2 Sc 2.44
S: 0.8573 0.1427 0.5000  2 Sc 2.44, 1 Pa 2.69

---

Entry 2:
Material: Sm8Y2Sc
Method: DFT, GGA-PBE
State: relaxed

Summary:
Formation enthalpy at 0 K in meV per atom: 27

Lattice parameters (Å, degrees): 9.4799 9.4799 8.0088 104.62 104.62 31.04
Last column: nearest neighbours and their distance in Å.
Atoms (fractional coordinates):
Sm: 0.0448 0.0448 0.2305  9 Sm 3.54-3.63, 2 Sc 3.56, 1 Y 3.58
Sm: 0.1349 0.1349 0.6789  7 Sm 3.54-3.63, 2 Sc 3.57, 3 Y 3.60-3.63
Sm: 0.3196 0.3196 0.5898  1 Sc 3.55, 8 Sm 3.56-3.64, 3 Y 3.60
Sm: 0.4103 0.4103 0.0523  1 Sc 3.53, 8 Sm 3.56-3.64, 3 Y 3.59-3.60
Sm: 0.5897 0.5897 0.9477  1 Sc 3.53, 8 Sm 3.56-3.64, 3 Y 3.59-3.60
Sm: 0.6804 0.6804 0.4102  1 Sc 3.55, 8 Sm 3.56-3.64, 3 Y 3.60
Sm: 0.8651 0.8651 0.3211  7 Sm 3.54-3.63, 2 Sc 3.57, 3 Y 3.60-3.63
Sm: 0.9552 0.9552 0.7695  9 Sm 3.54-3.63, 2 Sc 3.56, 1 Y 3.58
Y: 0.2258 0.2258 0.1351  10 Sm 3.58-3.63, 2 Y 3.59
Y: 0.7742 0.7742 0.8649  10 Sm 3.58-3.63, 2 Y 3.59
Sc: 0.5000 0.5000 0.5000  12 Sm 3.53-3.57

---

no.,offset from the most stable computed form (meV per atom),mass density (g/cm³),electronic total energy (eV per cell)
1,431.5,5.5,-69.5
2,0.0,6.6,-56.7